[1]
Entry from OQMD: crystalline Sc4CdBiC2 at its relaxed geometry (PBE).

Geometry as POSCAR:
```
Sc4CdBiC2
1.0
3.386 0.000 0.000
-1.693 2.933 0.000
0.000 0.000 15.158
Sc Cd Bi C
4 1 1 2
Direct
0.000 0.000 0.169
0.000 0.000 0.831
0.667 0.333 0.328
0.667 0.333 0.672
0.000 0.000 0.500
0.667 0.333 0.000
0.333 0.667 0.246
0.333 0.667 0.754
```

Output
The calculation puts the total energy at -53.06 eV/f.u.

[2]
Entry from OQMD: crystalline DyScS3 at its relaxed geometry (PBE).

Geometry as POSCAR:
```
DyScS3
1.0
7.012 0.000 0.000
0.000 9.509 0.000
0.000 0.000 6.367
Dy Sc S
4 4 12
Direct
0.102 0.250 0.042
0.398 0.750 0.542
0.602 0.250 0.458
0.898 0.750 0.958
0.000 0.000 0.500
0.000 0.500 0.500
0.500 0.000 0.000
0.500 0.500 0.000
0.048 0.750 0.355
0.185 0.571 0.824
0.185 0.929 0.824
0.315 0.071 0.324
0.315 0.429 0.324
0.452 0.250 0.855
0.548 0.750 0.145
0.685 0.571 0.676
0.685 0.929 0.676
0.815 0.071 0.176
0.815 0.429 0.176
0.952 0.250 0.645
```

Output
The calculation puts the total energy at -33.27 eV/f.u.

[3]
Entry from OQMD: crystalline KLaZnS3 at its relaxed geometry (PBE).

Geometry as POSCAR:
```
KLaZnS3
1.0
8.266 0.000 0.000
0.000 4.147 0.000
-2.591 0.000 9.843
K La Zn S
2 2 2 6
Direct
0.244 0.250 0.215
0.756 0.750 0.785
0.196 0.750 0.635
0.804 0.250 0.365
0.426 0.250 0.895
0.574 0.750 0.105
0.039 0.750 0.352
0.297 0.750 0.950
0.444 0.250 0.673
0.556 0.750 0.327
0.703 0.250 0.050
0.961 0.250 0.648
```

Output
The calculation puts the total energy at -28.64 eV/f.u.

[4]
Entry from OQMD: crystalline Dy2ErTm2Lu2Te2Pd2 at its relaxed geometry (PBE).

Geometry as POSCAR:
```
Dy2ErTm2Lu2Te2Pd2
1.0
-1.959 7.778 4.768
1.959 -7.778 4.768
1.959 7.778 -4.768
Dy Er Tm Lu Te Pd
2 1 2 2 2 2
Direct
0.144 0.000 0.144
0.856 0.000 0.856
0.764 0.264 0.500
0.218 0.848 0.370
0.478 0.848 0.630
0.456 0.638 0.818
0.821 0.638 0.182
0.104 0.604 0.500
0.499 0.499 0.000
0.068 0.330 0.738
0.593 0.330 0.262
```

Output
The calculation puts the total energy at -57.80 eV/f.u.

[5]
Entry from OQMD: crystalline Sn4Os at its relaxed geometry (PBE).

Geometry as POSCAR:
```
Sn4Os
1.0
-7.127 7.127 7.127
7.127 -7.127 7.127
7.127 7.127 -7.127
Sn Os
48 12
Direct
0.024 0.212 0.119
0.024 0.311 0.904
0.093 0.712 0.689
0.093 0.881 0.404
0.096 0.619 0.407
0.096 0.976 0.689
0.119 0.024 0.212
0.119 0.596 0.907
0.189 0.212 0.593
0.189 0.476 0.596
0.212 0.119 0.024
0.212 0.593 0.189
0.288 0.311 0.907
0.288 0.476 0.381
0.311 0.904 0.024
0.311 0.907 0.288
0.381 0.288 0.476
0.381 0.593 0.904
0.404 0.093 0.881
0.404 0.811 0.524
0.407 0.096 0.619
0.407 0.811 0.788
0.476 0.381 0.288
0.476 0.596 0.189
0.524 0.404 0.811
0.524 0.619 0.712
0.593 0.189 0.212
0.593 0.904 0.381
0.596 0.189 0.476
0.596 0.907 0.119
0.619 0.407 0.096
0.619 0.712 0.524
0.689 0.093 0.712
0.689 0.096 0.976
0.712 0.524 0.619
0.712 0.689 0.093
0.788 0.407 0.811
0.788 0.881 0.976
0.811 0.524 0.404
0.811 0.788 0.407
0.881 0.404 0.093
0.881 0.976 0.788
0.904 0.024 0.311
0.904 0.381 0.593
0.907 0.119 0.596
0.907 0.288 0.311
0.976 0.689 0.096
0.976 0.788 0.881
0.125 0.250 0.375
0.125 0.375 0.750
0.250 0.375 0.125
0.250 0.875 0.625
0.375 0.125 0.250
0.375 0.750 0.125
0.625 0.250 0.875
0.625 0.875 0.750
0.750 0.125 0.375
0.750 0.625 0.875
0.875 0.625 0.250
0.875 0.750 0.625
```

Output
The calculation puts the total energy at -26.13 eV/f.u.

[6]
Entry from OQMD: crystalline HfFeMo at its relaxed geometry (PBE).

Geometry as POSCAR:
```
HfFeMo
1.0
0.000 2.967 2.967
2.967 0.000 2.967
2.967 2.967 0.000
Hf Fe Mo
1 1 1
Direct
0.000 0.000 0.000
0.250 0.250 0.250
0.500 0.500 0.500
```

Output
Its energy above the lowest structure with this stoichiometry is 0 meV per atom. The calculation puts the energy of formation at 0.2586 eV per atom. The calculation puts the total energy at -28.34 eV/f.u.

[7]
Entry from OQMD: crystalline PuPaNi at its relaxed geometry (PBE).

Geometry as POSCAR:
```
PuPaNi
1.0
0.000 3.039 3.039
3.039 0.000 3.039
3.039 3.039 0.000
Pu Pa Ni
1 1 1
Direct
0.000 0.000 0.000
0.250 0.250 0.250
0.500 0.500 0.500
```

Output
Its energy above the lowest structure with this stoichiometry is 0 meV per atom. The calculation puts the energy of formation at 0.2504 eV per atom. The calculation puts the total energy at -28.44 eV/f.u.

[8]
Entry from OQMD: crystalline SmTmSbBr2 at its relaxed geometry (PBE).

Geometry as POSCAR:
```
SmTmSbBr2
1.0
4.241 0.000 0.000
-2.120 3.673 0.000
0.000 0.000 10.862
Sm Tm Sb Br
1 1 1 2
Direct
0.000 0.000 0.000
0.333 0.667 0.322
0.667 0.333 0.169
0.000 0.000 0.475
0.333 0.667 0.837
```

Output
The calculation puts the total energy at -23.92 eV/f.u.